1.
Sr2La2Si, relaxed, DFT PBE; uncorrected energy = -3.670 eV/atom; raw formation energy = 0.06 eV per atom
1.0
7.9925 0.0000 0.0000
0.0000 7.9925 0.0000
0.0000 0.0000 6.2214
Sr La Si
4 4 2
Direct
0.1723 0.3277 0.0000
0.3277 0.8277 0.0000
0.6723 0.1723 0.0000
0.8277 0.6723 0.0000
0.1466 0.6466 0.5000
0.3534 0.1466 0.5000
0.6466 0.8534 0.5000
0.8534 0.3534 0.5000
0.0000 0.0000 0.5000
0.5000 0.5000 0.5000



2.
Sr3LaSi, relaxed, DFT PBE; uncorrected energy = -1.935 eV/atom; raw formation energy = 1.14 eV per atom
1.0
6.0421 0.0000 0.0000
0.0000 6.0421 0.0000
0.0000 0.0000 6.0421
Sr La Si
3 1 1
Direct
0.0000 0.0000 0.5000
0.0000 0.5000 0.0000
0.5000 0.0000 0.0000
0.0000 0.0000 0.0000
0.5000 0.5000 0.5000



3.
SrLa2Si2, relaxed, DFT PBE; uncorrected energy = -4.964 eV/atom; ΔE to the lowest computed polymorph = 0 meV per atom; raw formation energy = -0.49 eV per atom
1.0
8.5669 0.0000 0.0000
0.0000 8.5669 0.0000
0.0000 0.0000 3.9715
Sr La Si
2 4 4
Direct
0.0000 0.0000 0.0000
0.5000 0.5000 0.0000
0.1332 0.3668 0.5000
0.3668 0.8668 0.5000
0.6332 0.1332 0.5000
0.8668 0.6332 0.5000
0.1660 0.6660 0.0000
0.3340 0.1660 0.0000
0.6660 0.8340 0.0000
0.8340 0.3340 0.0000



4.
SrLa3Si, relaxed, DFT PBE; uncorrected energy = -3.258 eV/atom; ΔE to the lowest computed polymorph = 1206 meV per atom; raw formation energy = 1.12 eV per atom
1.0
5.6716 0.0000 0.0000
0.0000 5.6716 0.0000
0.0000 0.0000 5.6716
Sr La Si
1 3 1
Direct
0.0000 0.0000 0.0000
0.0000 0.0000 0.5000
0.0000 0.5000 0.0000
0.5000 0.0000 0.0000
0.5000 0.5000 0.5000



5.
SrLaSi, relaxed, DFT PBE; uncorrected energy = -4.357 eV/atom; raw formation energy = -0.35 eV per atom
1.0
0.0000 3.6983 3.6983
3.6983 0.0000 3.6983
3.6983 3.6983 0.0000
Sr La Si
1 1 1
Direct
0.0000 0.0000 0.0000
0.5000 0.5000 0.5000
0.7500 0.7500 0.7500



6.
SrLaSi3, relaxed, DFT PBE; uncorrected energy = -4.012 eV/atom; ΔE to the lowest computed polymorph = 1133 meV per atom; raw formation energy = 0.56 eV per atom
1.0
5.4955 0.0000 0.0000
0.0000 5.4955 0.0000
0.0000 0.0000 5.4955
Sr La Si
1 1 3
Direct
0.0000 0.0000 0.0000
0.5000 0.5000 0.5000
0.0000 0.5000 0.5000
0.5000 0.0000 0.5000
0.5000 0.5000 0.0000



7.
SrLaSi, relaxed, DFT PBE; uncorrected energy = -4.250 eV/atom; raw formation energy = -0.24 eV per atom
1.0
13.6001 0.0000 0.0000
0.0000 2.7292 2.7325
0.0000 -2.7292 2.7325
Sr La Si
2 2 2
Direct
0.1340 0.0000 0.0000
0.8660 0.0000 0.0000
0.3901 0.5034 0.5034
0.6099 0.5034 0.5034
0.0000 0.4998 0.4998
0.5000 0.0035 0.0035



8.
SrLaSi3, relaxed, DFT PBE; uncorrected energy = -5.145 eV/atom; ΔE to the lowest computed polymorph = 0 meV per atom; raw formation energy = -0.57 eV per atom
1.0
2.2848 -12.8269 0.0000
2.2848 12.8269 0.0000
0.0000 0.0000 4.0561
Sr La Si
2 2 6
Direct
0.2014 0.7986 0.7500
0.7986 0.2014 0.2500
0.0681 0.9319 0.2500
0.9319 0.0681 0.7500
0.3337 0.6663 0.7500
0.3852 0.6148 0.2500
0.4774 0.5226 0.2500
0.5226 0.4774 0.7500
0.6148 0.3852 0.7500
0.6663 0.3337 0.2500



9.
Sr2LaSi2, relaxed, DFT PBE; uncorrected energy = -4.085 eV/atom; ΔE to the lowest computed polymorph = 0 meV per atom; raw formation energy = -0.26 eV per atom
1.0
-2.3485 2.3485 6.6916
2.3485 -2.3485 6.6916
2.3485 2.3485 -6.6916
Sr La Si
2 1 2
Direct
0.2500 0.7500 0.5000
0.7500 0.2500 0.5000
0.0000 0.0000 0.0000
0.4130 0.4130 0.0000
0.5870 0.5870 0.0000



10.
SrLaSi, relaxed, DFT PBE; uncorrected energy = -4.203 eV/atom; raw formation energy = -0.19 eV per atom
1.0
4.9113 0.0000 0.0000
-2.4556 4.2533 0.0000
0.0000 0.0000 4.9538
Sr La Si
1 1 1
Direct
0.0000 0.0000 0.0000
0.6667 0.3333 0.4958
0.3333 0.6667 0.6545



11.
SrLa2Si2, relaxed, DFT PBE; uncorrected energy = -4.859 eV/atom; ΔE to the lowest computed polymorph = 105 meV per atom; raw formation energy = -0.38 eV per atom
1.0
8.7913 0.0000 0.0000
0.0000 8.7913 0.0000
0.0000 0.0000 3.5811
Sr La Si
2 4 4
Direct
0.0000 0.0000 0.0000
0.5000 0.5000 0.0000
0.1249 0.3751 0.0000
0.3751 0.8751 0.0000
0.6249 0.1249 0.0000
0.8751 0.6249 0.0000
0.1729 0.6729 0.5000
0.3271 0.1729 0.5000
0.6729 0.8271 0.5000
0.8271 0.3271 0.5000



12.
SrLaSi3, relaxed, DFT PBE; uncorrected energy = -3.724 eV/atom; ΔE to the lowest computed polymorph = 1421 meV per atom; raw formation energy = 0.85 eV per atom
1.0
5.2865 0.0000 0.0000
0.0000 5.2865 0.0000
0.0000 0.0000 5.2865
Sr La Si
1 1 3
Direct
0.0000 0.0000 0.0000
0.5000 0.5000 0.5000
0.0000 0.0000 0.5000
0.0000 0.5000 0.0000
0.5000 0.0000 0.0000



13.
SrLaSi4, relaxed, DFT PBE; uncorrected energy = -5.234 eV/atom; ΔE to the lowest computed polymorph = 0 meV per atom; raw formation energy = -0.52 eV per atom
1.0
-2.2089 2.2089 6.8461
2.2089 -2.2089 6.8461
2.2089 2.2089 -6.8461
Sr La Si
1 1 4
Direct
0.0000 0.0000 0.0000
0.7500 0.2500 0.5000
0.1663 0.6663 0.5000
0.3337 0.8337 0.5000
0.4139 0.4139 0.0000
0.5861 0.5861 0.0000



14.
SrLaZn2Si2, relaxed, DFT PBE; uncorrected energy = -3.875 eV/atom; raw formation energy = -0.54 eV per atom
1.0
4.2679 0.0000 0.0000
-2.1340 3.6961 0.0000
0.0000 0.0000 8.8840
Sr La Zn Si
1 1 2 2
Direct
0.0000 0.0000 0.0000
0.0000 0.0000 0.5000
0.3333 0.6667 0.7351
0.6667 0.3333 0.2649
0.3333 0.6667 0.2613
0.6667 0.3333 0.7387



15.
LaTa3Si, relaxed, DFT PBE; uncorrected energy = -6.722 eV/atom; ΔE to the lowest computed polymorph = 1829 meV per atom; raw formation energy = 2.46 eV per atom
1.0
4.9306 0.0000 0.0000
0.0000 4.9306 0.0000
0.0000 0.0000 4.9306
La Ta Si
1 3 1
Direct
0.0000 0.0000 0.0000
0.0000 0.0000 0.5000
0.0000 0.5000 0.0000
0.5000 0.0000 0.0000
0.5000 0.5000 0.5000



16.
LaTa2Si, relaxed, DFT PBE; uncorrected energy = -8.054 eV/atom; raw formation energy = 0.46 eV per atom
1.0
-2.1277 2.1277 9.6257
2.1277 -2.1277 9.6257
2.1277 2.1277 -9.6257
La Ta Si
2 4 2
Direct
0.0000 0.0000 0.0000
0.7500 0.2500 0.5000
0.1680 0.6250 0.0430
0.3750 0.4180 0.5430
0.5820 0.1250 0.9570
0.8750 0.8320 0.4570
0.2500 0.7500 0.5000
0.5000 0.5000 0.0000



17.
LaTaSi, relaxed, DFT PBE; uncorrected energy = -7.371 eV/atom; raw formation energy = 0.03 eV per atom
1.0
4.4494 0.0000 0.0000
-2.2247 3.8533 0.0000
0.0000 0.0000 4.2013
La Ta Si
1 1 1
Direct
0.0000 0.0000 0.0000
0.6667 0.3333 0.5000
0.3333 0.6667 0.5000



18.
LaTa2Si, relaxed, DFT PBE; uncorrected energy = -8.339 eV/atom; raw formation energy = 0.18 eV per atom
1.0
2.9456 0.0000 0.0000
0.0000 2.9456 0.0000
0.0000 0.0000 9.3857
La Ta Si
1 2 1
Direct
0.0000 0.0000 0.0000
0.0000 0.0000 0.4450
0.5000 0.5000 0.6863
0.5000 0.5000 0.2513



19.
LaTa2Si, relaxed, DFT PBE; uncorrected energy = -8.322 eV/atom; raw formation energy = 0.19 eV per atom
1.0
1.8806 -2.3533 0.0000
1.8806 2.3533 0.0000
0.0000 0.0000 9.1891
La Ta Si
1 2 1
Direct
0.0000 0.0000 0.0000
0.5000 0.5000 0.3116
0.5000 0.5000 0.6884
0.0000 0.0000 0.5000



20.
LaTa2Si, relaxed, DFT PBE; uncorrected energy = -8.372 eV/atom; raw formation energy = 0.14 eV per atom
1.0
4.7790 -1.6438 0.0000
4.7790 1.6438 0.0000
-1.1989 0.0000 5.1819
La Ta Si
1 2 1
Direct
0.0000 0.0000 0.0000
0.2237 0.2237 0.6981
0.7763 0.7763 0.3019
0.5000 0.5000 0.5000